Entry from OQMD via LeMat-Bulk: DyTaFe after structural relaxation (GGA-PBE).

Properties
The calculation puts the energy of formation from the pure elements at 411 meV per atom. The space-group type is No. 216. The calculation puts the total magnetic moment at 0.0 Bohr magnetons per cell. Its total energy is -7.84 eV/atom.

a = 6.226 Å, b = 6.226 Å, c = 6.226 Å
α = 90.00°, β = 90.00°, γ = 90.00°
Fractional positions:
Dy 0.000 0.000 0.000
Dy 0.000 0.500 0.500
Dy 0.500 0.000 0.500
Dy 0.500 0.500 0.000
Ta 0.000 0.000 0.500
Ta 0.000 0.500 0.000
Ta 0.500 0.000 0.000
Ta 0.500 0.500 0.500
Fe 0.250 0.250 0.250
Fe 0.250 0.750 0.750
Fe 0.750 0.250 0.750
Fe 0.750 0.750 0.250